1.
The following is a PBE-GGA calculation of ZrTc4Se after structural relaxation, from the Alexandria database.

```
data_ZrTc4Se
_symmetry_space_group_name_H-M 'P 1'
_symmetry_Int_Tables_number 1
_symmetry_space_group_name_Hall 'P 1'
_cell_length_a 5.234
_cell_length_b 5.234
_cell_length_c 5.234
_cell_angle_alpha 60.00
_cell_angle_beta 60.00
_cell_angle_gamma 60.00
loop_
_atom_site_label
_atom_site_type_symbol
_atom_site_fract_x
_atom_site_fract_y
_atom_site_fract_z
Zr1 Zr 0.000 0.000 0.000
Tc1 Tc 0.376 0.376 0.376
Tc2 Tc 0.376 0.376 0.873
Tc3 Tc 0.376 0.873 0.376
Tc4 Tc 0.873 0.376 0.376
Se1 Se 0.750 0.750 0.750
```

Summary:
Space-group type: No. 216
VASP energy, eV per cell: -52.21
M_tot, μB per formula unit: 0.0

=====

2.
The following is a PBE-GGA calculation of ZrTc2Se after structural relaxation, from the Alexandria database.

```
data_ZrTc2Se
_symmetry_space_group_name_H-M 'P 1'
_symmetry_Int_Tables_number 1
_symmetry_space_group_name_Hall 'P 1'
_cell_length_a 3.227
_cell_length_b 3.227
_cell_length_c 6.378
_cell_angle_alpha 90.00
_cell_angle_beta 90.00
_cell_angle_gamma 90.00
loop_
_atom_site_label
_atom_site_type_symbol
_atom_site_fract_x
_atom_site_fract_y
_atom_site_fract_z
Zr1 Zr 0.000 0.000 0.000
Tc1 Tc 0.500 0.500 0.264
Tc2 Tc 0.500 0.500 0.736
Se1 Se 0.000 0.000 0.500
```

Summary:
Space-group type: No. 123
VASP energy, eV per cell: -32.90
M_tot, μB per formula unit: 0.0